VASP calculation (PBE-GGA) on a relaxed TlMoRh crystal.

a b c (Å): 4.599 4.599 2.839
angles (deg): 90.00 90.00 120.00
Element x y z (fractional)
Tl 0.000 0.000 0.000
Mo 0.333 0.667 0.500
Rh 0.667 0.333 0.000

Calculated values
crystal system = hexagonal
spin magnetization = 0.00 μB/cell
DFT formation energy = 0.47 eV/atom